[1]
## CsBa2NaIr (PBE)

Data for an optimized crystal structure of CsBa2NaIr.

relative energy among the computed polymorphs	9	meV/atom
magnetization	0.0	μB per formula unit
ΔE_f	0.1419	eV/atom

Structure (POSCAR):
```
CsBa2NaIr
1.0
-1.382 -4.257 4.171
4.523 2.039 3.580
-4.067 4.078 2.816
Ba Ir Na Cs
2 1 1 1
direct
0.000 0.500 0.000
0.500 0.000 0.000
0.000 0.000 0.000
0.000 0.000 0.500
0.500 0.500 0.500
```


[2]
## Pu2BeRh2 (PBE)

Data for an optimized crystal structure of Pu2BeRh2.

magnetization	11.1	μB per formula unit
ΔE_f	-0.4057	eV/atom

Structure (POSCAR):
```
Pu2BeRh2
1.0
-3.161 1.759 0.920
-1.854 -4.702 2.623
4.362 2.838 1.990
Rh Be Pu
2 1 2
direct
0.500 0.752 0.000
0.500 0.248 0.000
0.000 0.000 0.000
0.799 0.299 0.598
0.201 0.701 0.402
```


[3]
## Mg2FeCu (PBE)

Data for an optimized crystal structure of Mg2FeCu.

magnetization	2.3	μB per formula unit
ΔE_f	0.1736	eV/atom

Structure (POSCAR):
```
Mg2FeCu
1.0
-4.062 0.904 -1.259
-0.885 -0.296 2.642
0.520 4.936 1.866
Cu Mg Fe
1 2 1
direct
0.000 0.635 0.501
0.000 0.993 0.954
0.500 0.260 0.292
0.500 0.611 0.753
```


[4]
## CaTlRu (PBE)

Data for an optimized crystal structure of CaTlRu.

magnetization	0.0	μB per formula unit
ΔE_f	0.1735	eV/atom

Structure (POSCAR):
```
CaTlRu
1.0
-2.895 -4.539 -2.224
-0.387 -3.610 -4.556
1.825 -2.939 0.792
Tl Ru Ca
1 1 1
direct
0.694 0.694 0.306
0.318 0.318 0.682
0.988 0.988 0.012
```


[5]
## BaTcIrO6 (PBE)

Data for an optimized crystal structure of BaTcIrO6.

magnetization	0.0	μB per formula unit
formation energy (no corrections)	-1.542	eV/atom

Structure (POSCAR):
```
BaTcIrO6
1.0
5.394 0.000 0.000
2.697 4.671 0.000
0.000 0.000 5.587
O Tc Ir Ba
6 1 1 1
direct
0.993 0.390 0.313
0.390 0.993 0.687
0.617 0.993 0.313
0.617 0.390 0.687
0.390 0.617 0.313
0.993 0.617 0.687
0.667 0.667 0.500
0.333 0.333 0.500
0.000 0.000 0.000
```


[6]
## Ti3Te4Cl2 (PBE)

Data for an optimized crystal structure of Ti3Te4Cl2.

magnetization	0.0	μB per formula unit
formation energy (no corrections)	-0.828	eV/atom

Structure (POSCAR):
```
Ti3Te4Cl2
1.0
-1.291 2.525 2.192
-1.903 -1.040 -2.853
-9.988 -15.927 12.466
Te Ti Cl
4 3 2
direct
0.667 0.333 0.406
0.000 0.000 0.573
0.667 0.333 0.242
0.000 0.000 0.737
0.000 0.000 0.324
0.000 0.000 0.980
0.667 0.333 0.655
0.667 0.333 0.913
0.667 0.333 0.047
```


[7]
## Pm3MgTl3 (PBE)

Data for an optimized crystal structure of Pm3MgTl3.

magnetization	0.0	μB per formula unit
ΔE_f	-0.1638	eV/atom

Structure (POSCAR):
```
Pm3MgTl3
1.0
5.563 0.000 0.000
0.000 9.269 0.000
0.000 -4.634 8.027
Tl Mg Pm
6 2 6
direct
0.250 0.248 0.054
0.250 0.946 0.194
0.750 0.752 0.946
0.250 0.806 0.752
0.750 0.194 0.248
0.750 0.054 0.806
0.250 0.667 0.333
0.750 0.333 0.667
0.750 0.904 0.354
0.250 0.550 0.904
0.750 0.646 0.550
0.750 0.450 0.096
0.250 0.096 0.646
0.250 0.354 0.450
```


[8]
## In4AgI5 (PBE)

Data for an optimized crystal structure of In4AgI5.

magnetization	0.0	μB per formula unit
formation energy (no corrections)	-0.388	eV/atom

Structure (POSCAR):
```
In4AgI5
1.0
-0.599 4.047 -5.633
-5.732 -2.540 -5.517
-5.561 6.187 0.734
In I Ag
4 5 1
direct
0.800 0.790 0.603
0.590 0.603 0.210
0.403 0.397 0.790
0.193 0.210 0.397
0.091 0.636 0.166
0.488 0.000 0.000
0.258 0.834 0.636
0.727 0.166 0.364
0.893 0.364 0.834
0.067 0.000 0.000
```


[9]
## Pm2Cu5Ni2Ag (PBE)

Data for an optimized crystal structure of Pm2Cu5Ni2Ag.

magnetization	0.0	μB per formula unit
ΔE_f	-0.1262	eV/atom

Structure (POSCAR):
```
Pm2Cu5Ni2Ag
1.0
3.878 0.000 0.000
0.000 9.162 0.000
0.000 0.000 9.162
Ni Pm Cu Ag
4 4 10 2
direct
0.000 0.113 0.613
0.000 0.613 0.887
0.000 0.887 0.387
0.000 0.387 0.113
0.000 0.183 0.317
0.000 0.317 0.817
0.000 0.683 0.183
0.000 0.817 0.683
0.500 0.711 0.443
0.500 0.789 0.943
0.500 0.289 0.557
0.500 0.500 0.000
0.500 0.057 0.789
0.500 0.211 0.057
0.500 0.943 0.211
0.500 0.000 0.500
0.500 0.443 0.289
0.500 0.557 0.711
0.000 0.500 0.500
0.000 0.000 0.000
```


[10]
## Mg3Zn3Rh2Au (PBE)

Data for an optimized crystal structure of Mg3Zn3Rh2Au.

magnetization	0.0	μB per formula unit
ΔE_f	-0.3405	eV/atom

Structure (POSCAR):
```
Mg3Zn3Rh2Au
1.0
-1.264 2.703 0.298
-3.223 -0.768 -6.717
-3.565 -2.345 6.155
Rh Mg Au Zn
2 3 1 3
direct
0.500 0.333 0.667
0.500 0.667 0.333
0.500 0.300 0.300
0.500 0.700 0.000
0.500 0.000 0.700
0.000 0.000 0.000
0.000 0.000 0.387
0.000 0.387 0.000
0.000 0.613 0.613
```


[11]
## Cs2SnPt (PBE)

Data for an optimized crystal structure of Cs2SnPt.

relative energy among the computed polymorphs	0	meV/atom
magnetization	0.0	μB per formula unit
ΔE_f	-0.1889	eV/atom

Structure (POSCAR):
```
Cs2SnPt
1.0
-4.226 5.357 11.321
-10.431 -8.119 -0.052
-5.991 -3.108 6.951
Pt Cs Sn
2 4 2
direct
0.750 0.250 0.500
0.000 0.000 0.000
0.796 0.125 0.250
0.375 0.204 0.750
0.875 0.046 0.750
0.954 0.625 0.250
0.250 0.750 0.500
0.500 0.500 0.000
```


[12]
## CaMg2Si (PBE)

Data for an optimized crystal structure of CaMg2Si.

magnetization	0.0	μB per formula unit
formation energy (no corrections)	-0.043	eV/atom

Structure (POSCAR):
```
CaMg2Si
1.0
5.642 0.010 0.000
2.169 5.208 0.000
-3.905 -2.609 3.126
Ca Mg Si
1 2 1
direct
0.750 0.250 0.500
0.000 0.000 0.000
0.500 0.500 0.000
0.250 0.750 0.500
```